No. 1
The following is a DFT calculation (PBE) of TaBe3Br after structural relaxation.

a = 4.2433 Å, b = 4.2433 Å, c = 4.2433 Å
α = 90.00°, β = 90.00°, γ = 90.00°
Fractional positions:
Ta 0.0000 0.0000 0.0000
Be 0.0000 0.5000 0.5000
Be 0.5000 0.0000 0.5000
Be 0.5000 0.5000 0.0000
Br 0.5000 0.5000 0.5000

Calculated values
ΔE to the lowest computed polymorph in kJ per mole of atoms: 0.0
Fermi-level density of states in states/eV per cell: 6.11
Calculated density in Mg/m³: 6.26
Electronic total energy in eV/cell: -16.703
Uncorrected formation energy in eV per atom: 1.600
Space group: No. 221



No. 2
The following is a DFT calculation (PBE) of TaBeBr2 after structural relaxation.

a = 7.1904 Å, b = 7.1904 Å, c = 7.1904 Å
α = 154.70°, β = 140.69°, γ = 47.33°
Fractional positions:
Ta 0.0000 0.0000 0.0000
Be 0.8550 0.3550 0.5000
Br 0.1618 0.6618 0.5000
Br 0.4646 0.4646 0.0000

Calculated values
ΔE to the lowest computed polymorph in kJ per mole of atoms: 53.2
Fermi-level density of states in states/eV per cell: 2.00
Calculated density in Mg/m³: 5.79
Electronic total energy in eV/cell: -17.173
Uncorrected formation energy in eV per atom: 0.438
Space group: No. 44



No. 3
The following is a DFT calculation (PBE) of TaBeBr2 after structural relaxation.

a = 3.2331 Å, b = 3.2331 Å, c = 8.2815 Å
α = 90.00°, β = 90.00°, γ = 90.00°
Fractional positions:
Ta 0.0000 0.0000 0.0000
Be 0.5000 0.5000 0.1410
Br 0.0000 0.0000 0.3165
Br 0.5000 0.5000 0.7770

Calculated values
ΔE to the lowest computed polymorph in kJ per mole of atoms: 12.8
Fermi-level density of states in states/eV per cell: 0.84
Calculated density in Mg/m³: 6.71
Electronic total energy in eV/cell: -18.848
Uncorrected formation energy in eV per atom: 0.019
Space group: No. 99